# Li2IrSe | Alexandria | GGA-PBE | optimized geometry
data_Li2IrSe
_chemical_formula_sum 'Li2 Ir1 Se1'
_symmetry_space_group_name_H-M 'P 1'
_symmetry_Int_Tables_number 1
_symmetry_space_group_name_Hall 'P 1'
_cell_length_a 2.7376
_cell_length_b 2.7376
_cell_length_c 8.1793
_cell_angle_alpha 90.00
_cell_angle_beta 90.00
_cell_angle_gamma 90.00
loop_
_atom_site_label
_atom_site_type_symbol
_atom_site_fract_x
_atom_site_fract_y
_atom_site_fract_z
Li1 Li 0.0000 0.0000 0.2336
Li2 Li 0.0000 0.0000 0.7664
Ir1 Ir 0.5000 0.5000 0.0000
Se1 Se 0.5000 0.5000 0.5000
# Uncorrected energy ... -0.3150 Ry/atom
# Formation energy from raw total energies ... -243.1 meV per atom

=====

# Li2IrSe | Alexandria | GGA-PBE | optimized geometry
data_Li2IrSe
_chemical_formula_sum 'Li2 Ir1 Se1'
_symmetry_space_group_name_H-M 'P 1'
_symmetry_Int_Tables_number 1
_symmetry_space_group_name_Hall 'P 1'
_cell_length_a 4.5754
_cell_length_b 4.5754
_cell_length_c 4.3296
_cell_angle_alpha 108.89
_cell_angle_beta 108.89
_cell_angle_gamma 44.18
loop_
_atom_site_label
_atom_site_type_symbol
_atom_site_fract_x
_atom_site_fract_y
_atom_site_fract_z
Li1 Li 0.0000 0.0000 0.0000
Li2 Li 0.2458 0.2458 0.8125
Ir1 Ir 0.7687 0.7687 0.3493
Se1 Se 0.4965 0.4965 0.4430
# Uncorrected energy ... -0.3237 Ry/atom
# Formation energy from raw total energies ... -360.9 meV per atom

=====

# Li3IrSe | Alexandria | GGA-PBE | optimized geometry
data_Li3IrSe
_chemical_formula_sum 'Li3 Ir1 Se1'
_symmetry_space_group_name_H-M 'P 1'
_symmetry_Int_Tables_number 1
_symmetry_space_group_name_Hall 'P 1'
_cell_length_a 4.6694
_cell_length_b 4.6694
_cell_length_c 4.6694
_cell_angle_alpha 90.00
_cell_angle_beta 90.00
_cell_angle_gamma 90.00
loop_
_atom_site_label
_atom_site_type_symbol
_atom_site_fract_x
_atom_site_fract_y
_atom_site_fract_z
Li1 Li 0.0000 0.0000 0.5000
Li2 Li 0.0000 0.5000 0.0000
Li3 Li 0.5000 0.0000 0.0000
Ir1 Ir 0.5000 0.5000 0.5000
Se1 Se 0.0000 0.0000 0.0000
# Uncorrected energy ... -0.2518 Ry/atom
# Energy relative to the lowest polymorph listed for this composition ... 0.000 eV/atom
# Formation energy from raw total energies ... 191.6 meV per atom

=====

# LiIrSe2 | Alexandria | GGA-PBE | optimized geometry
data_LiIrSe2
_chemical_formula_sum 'Li1 Ir1 Se2'
_symmetry_space_group_name_H-M 'P 1'
_symmetry_Int_Tables_number 1
_symmetry_space_group_name_Hall 'P 1'
_cell_length_a 3.0861
_cell_length_b 4.1079
_cell_length_c 5.3436
_cell_angle_alpha 90.00
_cell_angle_beta 90.00
_cell_angle_gamma 90.00
loop_
_atom_site_label
_atom_site_type_symbol
_atom_site_fract_x
_atom_site_fract_y
_atom_site_fract_z
Li1 Li 0.0000 0.0000 0.0000
Ir1 Ir 0.5000 0.5000 0.6027
Se1 Se 0.0000 0.0000 0.5091
Se2 Se 0.5000 0.5000 0.0807
# Uncorrected energy ... -0.3446 Ry/atom
# Formation energy from raw total energies ... -251.9 meV per atom